(1)
First-principles (PBE) data for crystalline Sc3BrN at its relaxed geometry, as listed in Alexandria.

a = 4.5102 Å, b = 4.5102 Å, c = 4.5102 Å
α = 90.00°, β = 90.00°, γ = 90.00°
Closest atoms and distances in Å follow each position.
Space group Pm-3m (No. 221)
Unique sites:
Sc  0.0000  0.0000  0.5000 [3 per cell]  2 N 2.26
Br  0.5000  0.5000  0.5000 [1 per cell]  12 Sc 3.19
N  0.0000  0.0000  0.0000 [1 per cell]  6 Sc 2.26

The value obtained for the uncorrected formation energy is -60 kJ/mol of atoms. The energy above the most stable polymorph in this dataset comes out at 0 meV per atom.


(2)
First-principles (PBE) data for crystalline LiTlPb2Br at its relaxed geometry, as listed in Alexandria.

a = 5.1935 Å, b = 5.1935 Å, c = 5.5341 Å
α = 90.00°, β = 90.00°, γ = 90.00°
Closest atoms and distances in Å follow each position.
Space group P4/mmm (No. 123)
Unique sites:
Li  0.0000  0.0000  0.0000 [1 per cell]  4 Pb 2.60, 2 Tl 2.77
Tl  0.0000  0.0000  0.5000 [1 per cell]  2 Li 2.77
Pb  0.0000  0.5000  0.0000 [2 per cell]  2 Li 2.60
Br  0.5000  0.5000  0.5000 [1 per cell]  4 Tl 3.67, 8 Pb 3.79

The value obtained for the uncorrected formation energy is -4 kJ/mol of atoms.


(3)
First-principles (PBE) data for crystalline YSc2F at its relaxed geometry, as listed in Alexandria.

a = 3.4553 Å, b = 3.4553 Å, c = 28.4679 Å
α = 90.00°, β = 90.00°, γ = 120.00°
Closest atoms and distances in Å follow each position.
Space group R-3m (No. 166, hexagonal axes)
Unique sites:
Y  0.0000  0.0000  0.0000 [3 per cell]  6 Sc 3.36, 6 Y 3.46
Sc  0.0000  0.0000  0.4284 [6 per cell]  1 F 2.04
F  0.0000  0.0000  0.5000 [3 per cell]  2 Sc 2.04

The value obtained for the uncorrected formation energy is -107 kJ/mol of atoms. The energy above the most stable polymorph in this dataset comes out at 0 meV per atom.


(4)
First-principles (PBE) data for crystalline Ho2Al6Au3 at its relaxed geometry, as listed in Alexandria.

a = 7.8265 Å, b = 7.8265 Å, c = 4.1202 Å
α = 90.00°, β = 90.00°, γ = 120.00°
Closest atoms and distances in Å follow each position.
Space group P-62m (No. 189)
Unique sites:
Ho  0.3333  0.6667  0.0000 [2 per cell]  6 Au 3.21, 9 Al 3.31-3.43
Al  0.0000  0.3008  0.5000 [3 per cell]  3 Au 2.53-2.70
Al  0.0000  0.8082  0.0000 [3 per cell]  2 Au 2.52, 2 Al 2.60
Au  0.0000  0.6235  0.5000 [3 per cell]  5 Al 2.52-2.70

The energy relative to the elements comes out at -0.582 eV/atom.


(5)
First-principles (PBE) data for crystalline Mn2ZnHg at its relaxed geometry, as listed in Alexandria.

a = 3.9101 Å, b = 3.9101 Å, c = 8.5574 Å
α = 90.00°, β = 90.00°, γ = 90.00°
Closest atoms and distances in Å follow each position.
Space group I-4m2 (No. 119)
Unique sites:
Mn  0.0000  0.0000  0.0000 [2 per cell]  4 Hg 2.76, 4 Mn 2.90, 4 Zn 2.90
Mn  0.0000  0.5000  0.2500 [2 per cell]  4 Zn 2.76, 4 Hg 2.90, 4 Mn 2.90
Zn  0.0000  0.5000  0.7500 [2 per cell]  8 Mn 2.76-2.90, 4 Hg 2.90
Hg  0.0000  0.0000  0.5000 [2 per cell]  8 Mn 2.76-2.90, 4 Zn 2.90

The energy relative to the elements comes out at 0.317 eV/atom. The energy above the most stable polymorph in this dataset comes out at 126 meV per atom.


(6)
First-principles (PBE) data for crystalline RbAlV3 at its relaxed geometry, as listed in Alexandria.

a = 4.4861 Å, b = 4.4861 Å, c = 4.4861 Å
α = 90.00°, β = 90.00°, γ = 90.00°
Closest atoms and distances in Å follow each position.
Space group Pm-3m (No. 221)
Unique sites:
Rb  0.0000  0.0000  0.0000 [1 per cell]  6 V 2.24
Al  0.5000  0.5000  0.5000 [1 per cell]  12 V 3.17
V  0.0000  0.0000  0.5000 [3 per cell]  2 Rb 2.24

The energy relative to the elements comes out at 2.444 eV/atom. The energy above the most stable polymorph in this dataset comes out at 1027 meV per atom.


(7)
First-principles (PBE) data for crystalline Pa4SiB3Ru12 at its relaxed geometry, as listed in Alexandria.

a = 8.5191 Å, b = 8.5191 Å, c = 8.5191 Å
α = 90.00°, β = 90.00°, γ = 90.00°
Closest atoms and distances in Å follow each position.
Space group Im-3m (No. 229)
Unique sites:
Pa  0.2500  0.2500  0.2500 [8 per cell]  12 Ru 3.01
Si  0.0000  0.0000  0.0000 [2 per cell]  6 Ru 2.24
B  0.0000  0.0000  0.5000 [6 per cell]  6 Ru 2.02-2.13
Ru  0.0000  0.0000  0.2628 [12 per cell]  1 B 2.02, 1 Si 2.24
Ru  0.0000  0.2500  0.5000 [12 per cell]  2 B 2.13

The value obtained for the uncorrected formation energy is -49 kJ/mol of atoms.


(8)
First-principles (PBE) data for crystalline Er2ScAl at its relaxed geometry, as listed in Alexandria.

a = 7.3463 Å, b = 7.3463 Å, c = 7.3463 Å
α = 90.00°, β = 90.00°, γ = 90.00°
Closest atoms and distances in Å follow each position.
Space group Fm-3m (No. 225)
Unique sites:
Er  0.2500  0.2500  0.2500 [8 per cell]  4 Sc 3.18, 4 Al 3.18
Sc  0.0000  0.0000  0.0000 [4 per cell]  8 Er 3.18
Al  0.0000  0.0000  0.5000 [4 per cell]  8 Er 3.18

The energy relative to the elements comes out at -0.108 eV/atom. The energy above the most stable polymorph in this dataset comes out at 97 meV per atom.


(9)
First-principles (PBE) data for crystalline TeRhNF2 at its relaxed geometry, as listed in Alexandria.

a = 4.5250 Å, b = 4.5250 Å, c = 3.6931 Å
α = 90.00°, β = 90.00°, γ = 90.00°
Closest atoms and distances in Å follow each position.
Space group P4/mmm (No. 123)
Unique sites:
Te  0.0000  0.0000  0.0000 [1 per cell]  8 F 2.92, 4 N 3.20
Rh  0.5000  0.5000  0.5000 [1 per cell]  2 N 1.85
N  0.5000  0.5000  0.0000 [1 per cell]  2 Rh 1.85
F  0.0000  0.5000  0.5000 [2 per cell]  2 Rh 2.26

The value obtained for the uncorrected formation energy is -4 kJ/mol of atoms. The energy above the most stable polymorph in this dataset comes out at 0 meV per atom.


(10)
First-principles (PBE) data for crystalline Ba2NaHfRe at its relaxed geometry, as listed in Alexandria.

a = 5.7348 Å, b = 5.7348 Å, c = 5.1463 Å
α = 90.00°, β = 90.00°, γ = 90.00°
Closest atoms and distances in Å follow each position.
Space group P4/mmm (No. 123)
Unique sites:
Ba  0.0000  0.5000  0.0000 [2 per cell]  2 Na 2.87
Na  0.0000  0.0000  0.0000 [1 per cell]  2 Re 2.57, 4 Ba 2.87
Hf  0.5000  0.5000  0.5000 [1 per cell]  8 Ba 3.85, 4 Re 4.06
Re  0.0000  0.0000  0.5000 [1 per cell]  2 Na 2.57

The energy relative to the elements comes out at 1.866 eV/atom.


(11)
First-principles (PBE) data for crystalline SrTeI2N at its relaxed geometry, as listed in Alexandria.

a = 5.0674 Å, b = 5.0674 Å, c = 5.2971 Å
α = 90.00°, β = 90.00°, γ = 90.00°
Closest atoms and distances in Å follow each position.
Space group P4/mmm (No. 123)
Unique sites:
Sr  0.0000  0.0000  0.0000 [1 per cell]  4 Te 3.58, 8 I 3.67
Te  0.5000  0.5000  0.0000 [1 per cell]  2 N 2.65
I  0.0000  0.5000  0.5000 [2 per cell]  2 N 2.53
N  0.5000  0.5000  0.5000 [1 per cell]  4 I 2.53, 2 Te 2.65

The value obtained for the uncorrected formation energy is 1 kJ/mol of atoms. The energy above the most stable polymorph in this dataset comes out at 0 meV per atom.


(12)
First-principles (PBE) data for crystalline La2CrAgC at its relaxed geometry, as listed in Alexandria.

a = 5.3998 Å, b = 5.3998 Å, c = 3.9055 Å
α = 90.00°, β = 90.00°, γ = 90.00°
Closest atoms and distances in Å follow each position.
Space group P4/mmm (No. 123)
Unique sites:
La  0.0000  0.5000  0.0000 [2 per cell]  2 C 2.70
Cr  0.0000  0.0000  0.5000 [1 per cell]  2 C 1.95
Ag  0.5000  0.5000  0.5000 [1 per cell]  8 La 3.33
C  0.0000  0.0000  0.0000 [1 per cell]  2 Cr 1.95

The energy relative to the elements comes out at -0.099 eV/atom.


(13)
First-principles (PBE) data for crystalline Cd4SnAu5 at its relaxed geometry, as listed in Alexandria.

a = 8.8681 Å, b = 8.8681 Å, c = 5.5684 Å
α = 90.00°, β = 90.00°, γ = 90.00°
Closest atoms and distances in Å follow each position.
Space group I4 (No. 79)
Unique sites:
Cd  0.0759  0.3264  0.0000 [8 per cell]  5 Au 2.83-2.92
Sn  0.0000  0.0000  0.2830 [2 per cell]  6 Au 2.68-2.89
Au  0.0000  0.0000  0.8022 [2 per cell]  2 Sn 2.68-2.89
Au  0.1136  0.2630  0.5034 [8 per cell]  1 Sn 2.82, 5 Cd 2.83-2.92, 1 Au 3.04

The energy relative to the elements comes out at -0.073 eV/atom. The energy above the most stable polymorph in this dataset comes out at 58 meV per atom.


| no. | N(E_F) (states/eV per cell) |
| --- | --- |
| 1 | 9.341 |
| 2 | 2.373 |
| 3 | 9.939 |
| 4 | 3.311 |
| 5 | 7.853 |
| 6 | 3.755 |
| 7 | 11.521 |
| 8 | 21.005 |
| 9 | 2.430 |
| 10 | 9.074 |
| 11 | 1.854 |
| 12 | 2.491 |
| 13 | 8.292 |